{"formula": "Ba2LiHgAu", "functional": "GGA-PBE", "state": "relaxed", "cell": [[-3.8444, -2.6871, -1.6084], [4.3791, -1.8380, -7.3961], [1.3935, -5.6361, 6.0854]], "species": ["Li", "Li", "Hg", "Ba", "Ba", "Ba", "Hg", "Ba", "Au", "Au"], "fractional_positions": [[0.2500, 0.5693, 0.6690], [0.7500, 0.4307, 0.3310], [0.7500, 0.3768, 0.6562], [0.2500, 0.1337, 0.3597], [0.7500, 0.8663, 0.6403], [0.7500, 0.7149, 0.0615], [0.2500, 0.6232, 0.3438], [0.2500, 0.2851, 0.9385], [0.2500, 0.8894, 0.9193], [0.7500, 0.1106, 0.0807]], "magnetic_moment_mub_per_fu": 0.0, "e_above_lowest_polymorph_mev_per_atom": 0, "formation_energy_mev_per_atom": -500}

{"formula": "BaLiHg2Au4", "functional": "GGA-PBE", "state": "relaxed", "cell": [[4.8251, 0.0000, 0.0000], [2.4125, 4.1787, 0.0000], [2.4125, 1.3929, 9.1739]], "species": ["Hg", "Au", "Li", "Au", "Hg", "Au", "Au", "Ba"], "fractional_positions": [[0.2428, 0.2428, 0.2715], [0.8642, 0.8642, 0.4074], [0.5000, 0.5000, 0.5000], [0.4039, 0.4039, 0.7883], [0.7572, 0.7572, 0.7285], [0.5961, 0.5961, 0.2117], [0.1358, 0.1358, 0.5926], [0.0000, 0.0000, 0.0000]], "magnetic_moment_mub_per_fu": 0.0, "formation_energy_mev_per_atom": -359}

{"formula": "Ba3Li2Hg4Au2", "functional": "GGA-PBE", "state": "relaxed", "cell": [[4.9868, 0.0000, 0.0000], [-2.4934, 4.3187, 0.0000], [0.0000, 0.0000, 16.0760]], "species": ["Ba", "Ba", "Au", "Au", "Hg", "Li", "Li", "Hg", "Hg", "Ba", "Hg"], "fractional_positions": [[0.0000, 0.0000, 0.7362], [0.0000, 0.0000, 0.2638], [0.6667, 0.3333, 0.8666], [0.3333, 0.6667, 0.1334], [0.6667, 0.3333, 0.1362], [0.3333, 0.6667, 0.5652], [0.6667, 0.3333, 0.4348], [0.3333, 0.6667, 0.3952], [0.6667, 0.3333, 0.6048], [0.0000, 0.0000, 0.0000], [0.3333, 0.6667, 0.8638]], "magnetic_moment_mub_per_fu": 0.0, "formation_energy_mev_per_atom": -446}

{"formula": "BaLiHgAu", "functional": "GGA-PBE", "state": "relaxed", "cell": [[-4.4277, -2.9764, 1.1882], [0.2647, -3.8786, 3.8421], [-2.5653, 0.7036, 4.7749]], "species": ["Ba", "Au", "Hg", "Li"], "fractional_positions": [[0.7500, 0.7500, 0.7500], [0.0000, 0.0000, 0.0000], [0.5000, 0.5000, 0.5000], [0.2500, 0.2500, 0.2500]], "magnetic_moment_mub_per_fu": 0.0, "e_above_lowest_polymorph_mev_per_atom": 123, "formation_energy_mev_per_atom": -415}

{"formula": "BaLiHgAu", "functional": "GGA-PBE", "state": "relaxed", "cell": [[-3.9343, -0.5185, 2.6963], [2.7119, -3.8267, -1.0471], [2.5763, 3.6022, 4.4519]], "species": ["Au", "Hg", "Ba", "Li"], "fractional_positions": [[0.4156, 0.8312, 0.8876], [0.8230, 0.6461, 0.1123], [0.6193, 0.2387, 0.5006], [0.1083, 0.2166, 0.9669]], "magnetic_moment_mub_per_fu": 0.0, "e_above_lowest_polymorph_mev_per_atom": 0, "formation_energy_mev_per_atom": -538}

{"formula": "Ba2LiHg6Au", "functional": "GGA-PBE", "state": "relaxed", "cell": [[7.4596, 0.3782, 1.1917], [0.4189, 7.5814, 1.0474], [4.8046, 4.7248, 6.6658]], "species": ["Ba", "Au", "Hg", "Hg", "Hg", "Hg", "Ba", "Li", "Hg", "Hg"], "fractional_positions": [[0.2809, 0.7437, 0.4655], [0.0000, 0.0000, 0.0000], [0.7530, 0.2626, 0.1360], [0.7725, 0.7248, 0.5141], [0.2275, 0.2752, 0.4859], [0.2470, 0.7374, 0.8640], [0.7191, 0.2563, 0.5345], [0.5000, 0.5000, 0.0000], [0.7513, 0.7767, 0.9607], [0.2487, 0.2233, 0.0393]], "magnetic_moment_mub_per_fu": 0.0, "formation_energy_mev_per_atom": -347}